Here is a relaxed structure of LiAlCoMo from OQMD. Energies are from PBE.

Output
Volume: 12.6 Å³/atom
Size of the total moment: 0.94 μB/f.u.
Distance to the lowest polymorph of the same formula: 0.0 meV per atom

Cell: 4.146 4.146 4.146 Å, 60.00 60.00 60.00°
Atoms (fractional coordinates):
Li 0.000 0.000 0.000
Al 0.250 0.250 0.250
Co 0.500 0.500 0.500
Mo 0.750 0.750 0.750